1.
The following is a PBE calculation of crystalline TaHg2Ru at its relaxed geometry, from Alexandria via LeMat-Bulk.

POSCAR file:
```
TaHg2Ru
1.0
2.897 0.000 0.000
0.000 4.809 0.000
-1.110 0.000 5.299
Ta Hg Ru
1 2 1
direct
0.000 0.000 0.000
0.322 0.500 0.742
0.678 0.500 0.258
0.500 0.000 0.500
```

Output
As for the magnetic moment: 0.69 μB per formula unit. For the total energy, the calculation gives -4.92 eV/atom. The calculation puts the energy of formation at 0.509 eV/atom. The calculation puts the energy above the most stable polymorph in this dataset at 377 meV/atom.

---

2.
The following is a PBE calculation of crystalline TaHg2Ru at its relaxed geometry, from Alexandria via LeMat-Bulk.

POSCAR file:
```
TaHg2Ru
1.0
3.293 0.000 0.000
0.000 4.907 0.000
0.000 0.000 9.465
Ta Hg Ru
2 4 2
direct
0.000 0.000 0.000
0.500 0.500 0.500
0.000 0.000 0.542
0.000 0.500 0.769
0.500 0.000 0.269
0.500 0.500 0.042
0.000 0.500 0.306
0.500 0.000 0.806
```

Output
As for the magnetic moment: 0.00 μB per formula unit. For the total energy, the calculation gives -5.10 eV/atom. The calculation puts the energy of formation at 0.334 eV/atom. The calculation puts the energy above the most stable polymorph in this dataset at 201 meV/atom.

---

3.
The following is a PBE calculation of crystalline TaHg2Ru at its relaxed geometry, from Alexandria via LeMat-Bulk.

POSCAR file:
```
TaHg2Ru
1.0
6.590 0.000 0.000
0.000 6.590 0.000
0.000 0.000 6.590
Ta Hg Ru
4 8 4
direct
0.000 0.000 0.000
0.000 0.500 0.500
0.500 0.000 0.500
0.500 0.500 0.000
0.250 0.250 0.250
0.250 0.250 0.750
0.250 0.750 0.250
0.250 0.750 0.750
0.750 0.250 0.250
0.750 0.250 0.750
0.750 0.750 0.250
0.750 0.750 0.750
0.000 0.000 0.500
0.000 0.500 0.000
0.500 0.000 0.000
0.500 0.500 0.500
```

Output
As for the magnetic moment: 0.00 μB per formula unit. For the total energy, the calculation gives -4.88 eV/atom. The calculation puts the energy of formation at 0.551 eV/atom. The calculation puts the energy above the most stable polymorph in this dataset at 419 meV/atom.

---

4.
The following is a PBE calculation of crystalline TaHg2Ru at its relaxed geometry, from Alexandria via LeMat-Bulk.

POSCAR file:
```
TaHg2Ru
1.0
3.993 0.000 0.000
0.000 3.993 0.000
0.000 0.000 4.591
Ta Hg Ru
1 2 1
direct
0.000 0.000 0.000
0.000 0.500 0.500
0.500 0.000 0.500
0.500 0.500 0.000
```

Output
As for the magnetic moment: 0.00 μB per formula unit. For the total energy, the calculation gives -4.93 eV/atom. The calculation puts the energy of formation at 0.503 eV/atom. The calculation puts the energy above the most stable polymorph in this dataset at 370 meV/atom.

---

5.
The following is a PBE calculation of crystalline TaHg2Ru at its relaxed geometry, from Alexandria via LeMat-Bulk.

POSCAR file:
```
TaHg2Ru
1.0
9.707 0.000 0.000
0.000 3.123 0.000
-1.311 0.000 4.987
Ta Hg Ru
2 4 2
direct
0.000 0.000 0.000
0.500 0.500 0.000
0.234 0.000 0.708
0.466 0.000 0.462
0.734 0.500 0.708
0.966 0.500 0.462
0.206 0.500 0.161
0.706 0.000 0.161
```

Output
As for the magnetic moment: 0.00 μB per formula unit. For the total energy, the calculation gives -5.11 eV/atom. The calculation puts the energy of formation at 0.323 eV/atom. The calculation puts the energy above the most stable polymorph in this dataset at 190 meV/atom.

---

6.
The following is a PBE calculation of crystalline TaHg2Ru at its relaxed geometry, from Alexandria via LeMat-Bulk.

POSCAR file:
```
TaHg2Ru
1.0
3.046 0.000 0.000
0.000 3.046 0.000
0.000 0.000 8.365
Ta Hg Ru
1 2 1
direct
0.000 0.000 0.000
0.000 0.000 0.571
0.500 0.500 0.271
0.500 0.500 0.822
```

Output
As for the magnetic moment: 0.00 μB per formula unit. For the total energy, the calculation gives -5.30 eV/atom. The calculation puts the energy of formation at 0.132 eV/atom. The calculation puts the energy above the most stable polymorph in this dataset at 0 meV/atom.